Crystalline Zn2TcP at its relaxed geometry, computed with PBE-GGA.

energy of formation: -0.12 eV/atom
mass density: 7500 kg/m³
N(E_F): 0.2319 states/eV/atom

a = 4.4936 Å, b = 4.4936 Å, c = 4.5711 Å
α = 70.35°, β = 70.35°, γ = 41.91°
With the nearest neighbours (Å) after each atom.
Positions (direct):
1 P 0.4901 0.4901 0.6109  3 Tc 2.36-2.48, 2 Zn 2.51
2 Zn 0.9959 0.9959 0.0298  3 Zn 2.44-2.58, 2 P 2.51
3 Zn 0.2378 0.2378 0.2051  3 Zn 2.44-2.58, 2 Tc 2.72
4 Tc 0.7762 0.7762 0.6542  3 P 2.36-2.48



Crystalline ZnTc2P at its relaxed geometry, computed with PBE-GGA.

energy of formation: 0.24 eV/atom
mass density: 8545 kg/m³
relative energy among the computed polymorphs: 153 kJ/mol of formula units
N(E_F): 1.1208 states/eV/atom

a = 4.3152 Å, b = 4.3152 Å, c = 4.3152 Å
α = 60.00°, β = 60.00°, γ = 60.00°
With the nearest neighbours (Å) after each atom.
Positions (direct):
1 P 0.5000 0.5000 0.5000  4 Tc 2.64, 4 Zn 2.64
2 Tc 0.0000 0.0000 0.0000  4 Tc 2.64, 4 Zn 2.64
3 Zn 0.2500 0.2500 0.2500  4 P 2.64, 4 Tc 2.64
4 Tc 0.7500 0.7500 0.7500  4 Tc 2.64, 4 P 2.64



Crystalline ZnTc2P at its relaxed geometry, computed with PBE-GGA.

energy of formation: 0.05 eV/atom
mass density: 8442 kg/m³
relative energy among the computed polymorphs: 80 kJ/mol of formula units
N(E_F): 0.6975 states/eV/atom

a = 2.8307 Å, b = 2.8307 Å, c = 7.9941 Å
α = 90.00°, β = 90.00°, γ = 116.12°
With the nearest neighbours (Å) after each atom.
Positions (direct):
1 P 0.5000 0.5000 0.0000  4 Tc 2.32
2 Tc 0.0000 0.0000 0.7779  2 P 2.32
3 Zn 0.5000 0.5000 0.5000  4 Tc 2.68, 6 Zn 2.83-2.99
4 Tc 0.0000 0.0000 0.2221  2 P 2.32



Crystalline ZnTcP4 at its relaxed geometry, computed with PBE-GGA.

energy of formation: 0.74 eV/atom
mass density: 5515 kg/m³
N(E_F): 0.7976 states/eV/atom

a = 4.9642 Å, b = 4.9642 Å, c = 4.9642 Å
α = 60.00°, β = 60.00°, γ = 60.00°
With the nearest neighbours (Å) after each atom.
Positions (direct):
1 Tc 0.7500 0.7500 0.7500  12 P 2.91, 4 Zn 3.04
2 P 0.8742 0.3753 0.3753  6 P 2.48-2.49
3 P 0.3753 0.3753 0.8742  6 P 2.48-2.49
4 P 0.3753 0.3753 0.3753  6 P 2.48-2.49
5 P 0.3753 0.8742 0.3753  6 P 2.48-2.49
6 Zn 0.0000 0.0000 0.0000  12 P 2.91, 4 Tc 3.04



Crystalline Zn2TcP at its relaxed geometry, computed with PBE-GGA.

energy of formation: 0.00 eV/atom
mass density: 7040 kg/m³
N(E_F): 0.4893 states/eV/atom

a = 5.1710 Å, b = 5.1710 Å, c = 3.7031 Å
α = 90.00°, β = 90.00°, γ = 141.76°
With the nearest neighbours (Å) after each atom.
Positions (direct):
1 Zn 0.9543 0.0457 0.0000  1 P 2.50, 4 Tc 2.74
2 P 0.6980 0.3020 0.0000  2 Tc 2.25, 1 Zn 2.50
3 Zn 0.2947 0.7053 0.5000  3 Tc 2.66-2.80, 4 P 2.68, 4 Zn 2.95
4 Tc 0.5670 0.4330 0.5000  2 P 2.25



Crystalline Zn2TcP2 at its relaxed geometry, computed with PBE-GGA.

energy of formation: -0.05 eV/atom
mass density: 6494 kg/m³
relative energy among the computed polymorphs: 0 kJ/mol of formula units
N(E_F): 0.4548 states/eV/atom

a = 6.0516 Å, b = 6.0516 Å, c = 4.0603 Å
α = 90.00°, β = 90.00°, γ = 90.00°
With the nearest neighbours (Å) after each atom.
Positions (direct):
1 P 0.8709 0.6291 0.0000  1 P 2.21, 2 Tc 2.38
2 Zn 0.8070 0.3070 0.5000  6 P 2.54-2.84
3 Zn 0.3070 0.1930 0.5000  6 P 2.54-2.84
4 Tc 0.5000 0.5000 0.0000  4 P 2.38
5 Zn 0.6930 0.8070 0.5000  6 P 2.54-2.84
6 Zn 0.1930 0.6930 0.5000  6 P 2.54-2.84
7 P 0.1291 0.3709 0.0000  1 P 2.21, 2 Tc 2.38
8 P 0.3709 0.8709 0.0000  1 P 2.21, 2 Tc 2.38
9 P 0.6291 0.1291 0.0000  1 P 2.21, 2 Tc 2.38
10 Tc 0.0000 0.0000 0.0000  4 P 2.38



Crystalline ZnTcP at its relaxed geometry, computed with PBE-GGA.

energy of formation: -0.28 eV/atom
mass density: 7178 kg/m³
relative energy among the computed polymorphs: 5 kJ/mol of formula units
N(E_F): 0.4559 states/eV/atom

a = 4.4762 Å, b = 3.8956 Å, c = 5.6902 Å
α = 90.00°, β = 114.98°, γ = 90.00°
With the nearest neighbours (Å) after each atom.
Positions (direct):
1 Tc 0.2230 0.2500 0.4393  4 P 2.35-2.39
2 Tc 0.7770 0.7500 0.5607  4 P 2.35-2.39
3 Zn 0.2266 0.7500 0.0825  3 P 2.43-2.62, 2 Zn 2.68
4 Zn 0.7734 0.2500 0.9175  3 P 2.43-2.62, 2 Zn 2.68
5 P 0.6471 0.2500 0.2928  4 Tc 2.35-2.39, 3 Zn 2.43-2.62
6 P 0.3529 0.7500 0.7072  4 Tc 2.35-2.39, 3 Zn 2.43-2.62



Crystalline ZrTcP2 at its relaxed geometry, computed with PBE-GGA.

energy of formation: -0.57 eV/atom
mass density: 6923 kg/m³
relative energy among the computed polymorphs: 107 kJ/mol of formula units
N(E_F): 0.8689 states/eV/atom

a = 4.3967 Å, b = 4.3967 Å, c = 3.1168 Å
α = 90.00°, β = 90.00°, γ = 90.00°
With the nearest neighbours (Å) after each atom.
Positions (direct):
1 Tc 0.5000 0.0000 0.5000  8 P 2.69
2 P 0.5000 0.5000 0.0000  4 Zr 2.69, 4 Tc 2.69
3 Zr 0.0000 0.5000 0.5000  8 P 2.69
4 P 0.0000 0.0000 0.0000  4 Zr 2.69, 4 Tc 2.69



Crystalline ZrTcP2 at its relaxed geometry, computed with PBE-GGA.

energy of formation: -0.08 eV/atom
mass density: 6634 kg/m³
relative energy among the computed polymorphs: 299 kJ/mol of formula units
N(E_F): 0.2857 states/eV/atom

a = 4.4632 Å, b = 4.4632 Å, c = 4.4632 Å
α = 60.00°, β = 60.00°, γ = 60.00°
With the nearest neighbours (Å) after each atom.
Positions (direct):
1 P 0.2500 0.2500 0.2500  4 Tc 2.73, 4 P 2.73
2 Tc 0.5000 0.5000 0.5000  4 Zr 2.73, 4 P 2.73
3 P 0.0000 0.0000 0.0000  4 Zr 2.73, 4 P 2.73
4 Zr 0.7500 0.7500 0.7500  4 Tc 2.73, 4 P 2.73



Crystalline ZrTc4P2 at its relaxed geometry, computed with PBE-GGA.

energy of formation: -0.57 eV/atom
mass density: 8544 kg/m³
N(E_F): 0.3415 states/eV/atom

a = 3.9874 Å, b = 4.0005 Å, c = 6.9369 Å
α = 106.76°, β = 90.00°, γ = 90.00°
With the nearest neighbours (Å) after each atom.
Positions (direct):
1 P 0.5000 0.4163 0.8326  1 P 2.22, 4 Tc 2.37-2.42
2 Tc 0.5000 0.8200 0.6400  2 P 2.37
3 Tc 0.0000 0.6873 0.3745  2 P 2.42, 4 Tc 2.60-2.66
4 P 0.5000 0.5837 0.1674  1 P 2.22, 4 Tc 2.37-2.42
5 Zr 0.0000 0.0000 0.0000  8 P 3.04, 8 Tc 3.11-3.19
6 Tc 0.5000 0.1800 0.3600  2 P 2.37
7 Tc 0.0000 0.3127 0.6255  2 P 2.42, 4 Tc 2.60-2.66



Crystalline Zr2TcP2 at its relaxed geometry, computed with PBE-GGA.

energy of formation: -0.98 eV/atom
mass density: 7001 kg/m³
N(E_F): 0.5045 states/eV/atom

a = 6.5404 Å, b = 6.5404 Å, c = 3.7972 Å
α = 90.00°, β = 90.00°, γ = 90.00°
With the nearest neighbours (Å) after each atom.
Positions (direct):
1 Zr 0.6634 0.8366 0.5000  6 P 2.60-2.77
2 Zr 0.3366 0.1634 0.5000  6 P 2.60-2.77
3 P 0.8558 0.6442 0.0000  2 Tc 2.51, 6 Zr 2.60-2.77, 1 P 2.67
4 Tc 0.0000 0.0000 0.0000  4 P 2.51
5 P 0.1442 0.3558 0.0000  2 Tc 2.51, 6 Zr 2.60-2.77, 1 P 2.67
6 P 0.6442 0.1442 0.0000  2 Tc 2.51, 6 Zr 2.60-2.77, 1 P 2.67
7 Zr 0.1634 0.6634 0.5000  6 P 2.60-2.77
8 Zr 0.8366 0.3366 0.5000  6 P 2.60-2.77
9 P 0.3558 0.8558 0.0000  2 Tc 2.51, 6 Zr 2.60-2.77, 1 P 2.67
10 Tc 0.5000 0.5000 0.0000  4 P 2.51



Crystalline ZrTcP at its relaxed geometry, computed with PBE-GGA.

energy of formation: -0.60 eV/atom
mass density: 7579 kg/m³
relative energy among the computed polymorphs: 134 kJ/mol of formula units
N(E_F): 1.0690 states/eV/atom

a = 5.5374 Å, b = 5.5374 Å, c = 5.5374 Å
α = 147.72°, β = 147.72°, γ = 46.29°
With the nearest neighbours (Å) after each atom.
Positions (direct):
1 Tc 0.6349 0.6349 0.0000  4 P 2.43
2 P 0.0292 0.0292 0.0000  4 Tc 2.43
3 Zr 0.3358 0.3358 0.0000  5 P 2.94-3.12, 5 Tc 2.99-3.05, 4 Zr 3.08



Q: Which value of energy of formation does entry 4 give?
A: 0.74 eV/atom